The following is a DFT calculation (PBE) of a relaxed structure of CaB.

Output
total moment = 0.0 μB/f.u.
N(E_F) = 0.63 states/eV/f.u.
E_form = -0.064 eV per atom
density = 2.35 Mg/m³

Unit cell a=3.3651 b=3.3651 c=22.0057 alpha=90.00 beta=90.00 gamma=120.00
Space group R-3m (No. 166, hexagonal axes)
One atom of each set of equivalent atoms:
Ca 0.0000 0.0000 0.0857
B 0.0000 0.0000 0.3332



The following is a DFT calculation (PBE) of a relaxed structure of CaB.

Output
total moment = 0.0 μB/f.u.
E_form = 0.223 eV per atom
density = 2.21 Mg/m³

Unit cell a=6.378 b=8.900 c=10.788 alpha=90.00 beta=90.00 gamma=90.00
Space group Fddd (No. 70, origin choice 2)
One atom of each set of equivalent atoms:
Ca 0.125 0.332 0.125
B 0.002 0.125 0.625